CaLa5Al2In: optimized geometry, PBE. Values from VASP.

```
&SYSTEM
  ibrav = 0, nat = 18, ntyp = 4
/
ATOMIC_SPECIES
Ca 40.08 Ca.upf
La 138.91 La.upf
Al 26.98 Al.upf
In 114.82 In.upf
CELL_PARAMETERS angstrom
7.805 0.000 0.000
0.000 7.805 0.000
0.000 0.000 10.015
ATOMIC_POSITIONS crystal
Ca 0.000 0.000 0.000
Ca 0.500 0.500 0.000
La 0.000 0.000 0.500
La 0.191 0.309 0.262
La 0.191 0.309 0.738
La 0.309 0.809 0.262
La 0.309 0.809 0.738
La 0.500 0.500 0.500
La 0.691 0.191 0.262
La 0.691 0.191 0.738
La 0.809 0.691 0.262
La 0.809 0.691 0.738
Al 0.114 0.614 0.500
Al 0.386 0.114 0.500
Al 0.614 0.886 0.500
Al 0.886 0.386 0.500
In 0.000 0.500 0.000
In 0.500 0.000 0.000
```

Its space-group type is P4/mbm (127). Its electronic total energy is -77.247 eV for the cell shown.